Compound: La2MnHgO5
Source: Alexandria
Functional: GGA+U
Structure: relaxed

Summary:
The final energy is -6.930 eV per atom. The density of states at the Fermi level comes out at 5.10 states/eV per cell.

a b c (Å): 7.029 7.029 5.733
angles (deg): 90.00 90.00 90.00
Space group P4/mbm (No. 127)
Unique sites:
La1 0.181 0.319 0.000 [4 per cell]
Mn1 0.000 0.500 0.500 [2 per cell]
Hg1 0.000 0.000 0.500 [2 per cell]
O1 0.000 0.000 0.000 [2 per cell]
O2 0.129 0.629 0.254 [8 per cell]